Version i
# NaInAsBr2 | Alexandria | PBE | relaxed
data_NaInAsBr2
_cell_length_a 5.750
_cell_length_b 5.750
_cell_length_c 5.320
_cell_angle_alpha 90.00
_cell_angle_beta 90.00
_cell_angle_gamma 90.00
_space_group_name_H-M_alt 'P 1'
_space_group_IT_number 1
loop_
_space_group_symop_operation_xyz
'x,y,z'
loop_
_atom_site_label
_atom_site_type_symbol
_atom_site_fract_x
_atom_site_fract_y
_atom_site_fract_z
In1 In 0.000 0.000 0.000
Br1 Br 0.000 0.500 0.000
As1 As 0.000 0.000 0.500
Na1 Na 0.500 0.500 0.500
Br2 Br 0.500 0.000 0.000
# Volume = 35.2 Å³ per atom
# N(E_F) = 0.3989 states/eV per atom
# Space-group type = P4/mmm
# Crystal system = tetragonal

***

Version ii
# NaInAsBr2 | Alexandria | PBE | relaxed
data_NaInAsBr2
_cell_length_a 5.597
_cell_length_b 5.597
_cell_length_c 5.630
_cell_angle_alpha 90.00
_cell_angle_beta 90.00
_cell_angle_gamma 90.00
_space_group_name_H-M_alt 'P 1'
_space_group_IT_number 1
loop_
_space_group_symop_operation_xyz
'x,y,z'
loop_
_atom_site_label
_atom_site_type_symbol
_atom_site_fract_x
_atom_site_fract_y
_atom_site_fract_z
As1 As 0.000 0.000 0.500
Br1 Br 0.500 0.000 0.000
Br2 Br 0.000 0.500 0.000
In1 In 0.500 0.500 0.500
Na1 Na 0.000 0.000 0.000
# Volume = 35.3 Å³ per atom
# N(E_F) = 0.0528 states/eV per atom
# Space-group type = P4/mmm
# Crystal system = tetragonal

***

Stability order, top to bottom: version i, version ii

***

Version i
# InAsSeBr2 | Alexandria | PBE | relaxed
data_InAsSeBr2
_cell_length_a 5.659
_cell_length_b 5.659
_cell_length_c 5.023
_cell_angle_alpha 90.00
_cell_angle_beta 90.00
_cell_angle_gamma 90.00
_space_group_name_H-M_alt 'P 1'
_space_group_IT_number 1
loop_
_space_group_symop_operation_xyz
'x,y,z'
loop_
_atom_site_label
_atom_site_type_symbol
_atom_site_fract_x
_atom_site_fract_y
_atom_site_fract_z
Se1 Se 0.000 0.000 0.000
As1 As 0.000 0.000 0.500
Br1 Br 0.500 0.000 0.000
In1 In 0.500 0.500 0.500
Br2 Br 0.000 0.500 0.000
# Volume = 32.2 Å³ per atom
# N(E_F) = 0.4866 states/eV per atom
# Space-group type = P4/mmm
# Crystal system = tetragonal

***

Version ii
# InAsSeBr2 | Alexandria | PBE | relaxed
data_InAsSeBr2
_cell_length_a 5.290
_cell_length_b 5.290
_cell_length_c 5.431
_cell_angle_alpha 90.00
_cell_angle_beta 90.00
_cell_angle_gamma 90.00
_space_group_name_H-M_alt 'P 1'
_space_group_IT_number 1
loop_
_space_group_symop_operation_xyz
'x,y,z'
loop_
_atom_site_label
_atom_site_type_symbol
_atom_site_fract_x
_atom_site_fract_y
_atom_site_fract_z
In1 In 0.000 0.000 0.000
Se1 Se 0.000 0.000 0.500
As1 As 0.500 0.500 0.500
Br1 Br 0.500 0.000 0.000
Br2 Br 0.000 0.500 0.000
# Volume = 30.4 Å³ per atom
# N(E_F) = 0.5882 states/eV per atom
# Space-group type = P4/mmm
# Crystal system = tetragonal

***

Version iii
# InAsSeBr2 | Alexandria | PBE | relaxed
data_InAsSeBr2
_cell_length_a 5.318
_cell_length_b 5.318
_cell_length_c 5.710
_cell_angle_alpha 90.00
_cell_angle_beta 90.00
_cell_angle_gamma 90.00
_space_group_name_H-M_alt 'P 1'
_space_group_IT_number 1
loop_
_space_group_symop_operation_xyz
'x,y,z'
loop_
_atom_site_label
_atom_site_type_symbol
_atom_site_fract_x
_atom_site_fract_y
_atom_site_fract_z
Se1 Se 0.500 0.500 0.500
Br1 Br 0.500 0.000 0.000
As1 As 0.000 0.000 0.500
In1 In 0.000 0.000 0.000
Br2 Br 0.000 0.500 0.000
# Volume = 32.3 Å³ per atom
# N(E_F) = 0.5324 states/eV per atom
# Space-group type = P4/mmm
# Crystal system = tetragonal

***

Stability order, top to bottom: version i, version ii, version iii

***

Version i
# InSiAsBr2 | Alexandria | PBE | relaxed
data_InSiAsBr2
_cell_length_a 5.261
_cell_length_b 5.261
_cell_length_c 4.932
_cell_angle_alpha 90.00
_cell_angle_beta 90.00
_cell_angle_gamma 90.00
_space_group_name_H-M_alt 'P 1'
_space_group_IT_number 1
loop_
_space_group_symop_operation_xyz
'x,y,z'
loop_
_atom_site_label
_atom_site_type_symbol
_atom_site_fract_x
_atom_site_fract_y
_atom_site_fract_z
Br1 Br 0.000 0.500 0.000
As1 As 0.000 0.000 0.500
In1 In 0.500 0.500 0.500
Si1 Si 0.000 0.000 0.000
Br2 Br 0.500 0.000 0.000
# Volume = 27.3 Å³ per atom
# N(E_F) = 0.7277 states/eV per atom
# Space-group type = P4/mmm
# Crystal system = tetragonal

***

Version ii
# InSiAsBr2 | Alexandria | PBE | relaxed
data_InSiAsBr2
_cell_length_a 5.347
_cell_length_b 5.347
_cell_length_c 5.484
_cell_angle_alpha 90.00
_cell_angle_beta 90.00
_cell_angle_gamma 90.00
_space_group_name_H-M_alt 'P 1'
_space_group_IT_number 1
loop_
_space_group_symop_operation_xyz
'x,y,z'
loop_
_atom_site_label
_atom_site_type_symbol
_atom_site_fract_x
_atom_site_fract_y
_atom_site_fract_z
In1 In 0.000 0.000 0.000
As1 As 0.000 0.000 0.500
Si1 Si 0.500 0.500 0.500
Br1 Br 0.500 0.000 0.000
Br2 Br 0.000 0.500 0.000
# Volume = 31.4 Å³ per atom
# N(E_F) = 0.5662 states/eV per atom
# Space-group type = P4/mmm
# Crystal system = tetragonal

***

Stability order, top to bottom: version i, version ii